Here is a geometry-optimized Ba2CuTcBr structure from Alexandria via LeMat-Bulk. Energies are from PBE.

Output
E_tot ... -3.453 eV per atom
SG ... P4/mmm, No. 123
Spin magnetization ... 2.91 Bohr magnetons per cell
D(E_F) ... 6.8 states/eV/f.u.

Lattice parameters (Å, degrees): 6.2301 6.2301 4.6571 90.00 90.00 90.00
Fractional positions:
Ba (0.0000, 0.5000, 0.0000)
Ba (0.5000, 0.0000, 0.0000)
Cu (0.0000, 0.0000, 0.5000)
Tc (0.5000, 0.5000, 0.5000)
Br (0.0000, 0.0000, 0.0000)